{"formula": "Li6ZnCd", "functional": "PBE", "state": "relaxed", "total_energy_ev_per_fu": -14.7, "lattice": [[-3.134, -1.334, 3.385], [-4.127, -0.603, -4.059], [3.401, -4.520, 1.368]], "species": ["Li", "Li", "Li", "Li", "Li", "Li", "Zn", "Cd"], "fractional_positions": [[0.000, 0.088, 0.418], [0.000, 0.582, 0.912], [0.000, 0.582, 0.418], [0.500, 0.407, 0.079], [0.500, 0.921, 0.593], [0.500, 0.921, 0.079], [0.000, 0.084, 0.916], [0.500, 0.416, 0.584]]}